Material: La2Y
Method: DFT, PBEsol
State: relaxed

Values from the calculation:
ΔE to the lowest computed polymorph: 0.009 eV/atom
ΔH_f (0 K): 0.02 eV/atom
Total magnetization: 0.00 Bohr magnetons per cell

a = 3.5941 Å, b = 3.5941 Å, c = 8.8480 Å
α = 90.00°, β = 90.00°, γ = 120.00°
Element x y z (fractional)
Y: 0.0000 0.0000 0.0000
La: 0.3333 0.6667 0.6690
La: 0.6667 0.3333 0.3310